Entry a
Crystalline LiLa4MnO8 at its relaxed geometry, computed with PBE with a Hubbard U.

Properties
* spin magnetization: 8.0 Bohr magnetons per cell

Lattice parameters (Å, degrees): 5.415 12.905 5.416 90.00 90.00 90.00
Space group Cmmm (No. 65)
One atom of each set of equivalent atoms:
Li (0.000, 0.000, 0.000) x2
La (0.000, 0.137, 0.500) x4
La (0.000, 0.361, 0.000) x4
Mn (0.000, 0.500, 0.500) x2
O (0.000, 0.182, 0.000) x4
O (0.000, 0.319, 0.500) x4
O (0.248, 0.500, 0.254) x8



Entry b
Crystalline LiLa4MnO8 at its relaxed geometry, computed with PBE with a Hubbard U.

Properties
* spin magnetization: 0.0 Bohr magnetons per cell

Lattice parameters (Å, degrees): 5.420 5.420 25.242 90.00 90.00 90.00
Space group I4_1/amd (No. 141, origin choice 2)
One atom of each set of equivalent atoms:
Li (0.000, 0.250, 0.375) x4
La (0.000, 0.250, 0.057) x8
La (0.000, 0.250, 0.194) x8
Mn (0.000, 0.250, 0.875) x4
O (0.000, 0.250, 0.284) x8
O (0.000, 0.250, 0.791) x8
O (0.248, 0.002, 0.875) x16



Stability verdict: entry a, ahead by 0.167 eV/atom



Entry a
Crystalline SrLiLa3MnO8 at its relaxed geometry, computed with PBE with a Hubbard U.

Properties
* spin magnetization: 11.8 Bohr magnetons per cell

Lattice parameters (Å, degrees): 5.433 12.670 10.892 90.00 90.00 90.00
Space group Cmcm (No. 63)
One atom of each set of equivalent atoms:
Sr (0.000, 0.140, 0.250) x4
Li (0.000, 0.000, 0.000) x4
La (0.000, 0.135, 0.750) x4
La (0.000, 0.363, 0.501) x8
Mn (0.000, 0.498, 0.750) x4
O (0.000, 0.183, 0.518) x8
O (0.000, 0.337, 0.750) x4
O (0.000, 0.342, 0.250) x4
O (0.244, 0.500, 0.128) x16



Entry b
Crystalline SrLiLa3MnO8 at its relaxed geometry, computed with PBE with a Hubbard U.

Properties
* spin magnetization: 5.9 Bohr magnetons per cell

Lattice parameters (Å, degrees): 5.442 5.430 12.662 90.00 90.00 90.00
Space group Amm2 (No. 38)
One atom of each set of equivalent atoms:
Sr (0.000, 0.000, 0.000) x2
Li (0.500, 0.000, 0.131) x2
La (0.000, 0.000, 0.275) x2
La (0.500, 0.000, 0.505) x2
La (0.500, 0.000, 0.781) x2
Mn (0.000, 0.000, 0.641) x2
O (0.000, 0.000, 0.478) x2
O (0.000, 0.000, 0.800) x2
O (0.244, 0.245, 0.645) x8
O (0.500, 0.000, 0.326) x2
O (0.500, 0.000, 0.960) x2



Stability verdict: entry a, ahead by 0.006 eV/atom